# SiAs3 | Alexandria | PBE | optimized geometry
# total moment	0.000	μB/atom
# energy relative to the lowest polymorph listed for this composition	268	meV per atom
# formation energy without anion corrections	365	meV/atom
data_SiAs3
_symmetry_space_group_name_H-M 'I m m m'
_symmetry_Int_Tables_number 71
_symmetry_space_group_name_Hall '-I 2 2'
_cell_length_a 3.499
_cell_length_b 4.258
_cell_length_c 10.482
_cell_angle_alpha 90.00
_cell_angle_beta 90.00
_cell_angle_gamma 90.00
loop_
_atom_site_label
_atom_site_fract_x
_atom_site_fract_y
_atom_site_fract_z
Si1 0.000 0.000 0.000
As1 0.000 0.000 0.500
As2 0.000 0.500 0.318

***

# Si4As | Alexandria | PBE | optimized geometry
# total moment	0.000	μB/atom
# energy relative to the lowest polymorph listed for this composition	0	meV per atom
# formation energy without anion corrections	442	meV/atom
data_Si4As
_symmetry_space_group_name_H-M 'I 4/m m m'
_symmetry_Int_Tables_number 139
_symmetry_space_group_name_Hall '-I 4 2'
_cell_length_a 4.603
_cell_length_b 4.603
_cell_length_c 8.164
_cell_angle_alpha 90.00
_cell_angle_beta 90.00
_cell_angle_gamma 90.00
loop_
_atom_site_label
_atom_site_fract_x
_atom_site_fract_y
_atom_site_fract_z
Si1 0.000 0.000 0.143
Si2 0.000 0.500 0.250
As1 0.000 0.000 0.500

***

# SiAs | Alexandria | PBE | optimized geometry
# total moment	0.000	μB/atom
# formation energy without anion corrections	203	meV/atom
data_SiAs
_symmetry_space_group_name_H-M 'P 63/m m c'
_symmetry_Int_Tables_number 194
_symmetry_space_group_name_Hall '-P 6c 2c'
_cell_length_a 3.6542
_cell_length_b 3.6542
_cell_length_c 6.2777
_cell_angle_alpha 90.00
_cell_angle_beta 90.00
_cell_angle_gamma 120.00
loop_
_atom_site_label
_atom_site_fract_x
_atom_site_fract_y
_atom_site_fract_z
Si1 0.0000 0.0000 0.0000
As1 0.3333 0.6667 0.2500

***

# SiAs2 | Alexandria | PBE | optimized geometry
# total moment	0.000	μB/atom
# energy relative to the lowest polymorph listed for this composition	239	meV per atom
# formation energy without anion corrections	154	meV/atom
data_SiAs2
_symmetry_space_group_name_H-M 'C 1 2/m 1'
_symmetry_Int_Tables_number 12
_cell_length_a 11.227
_cell_length_b 3.739
_cell_length_c 6.546
_cell_angle_alpha 90.00
_cell_angle_beta 125.09
_cell_angle_gamma 90.00
loop_
_symmetry_equiv_pos_as_xyz
'x,y,z'
'-x,-y,-z'
'-x,y,-z'
'x,-y,z'
'x+1/2,y+1/2,z'
'-x+1/2,-y+1/2,-z'
'-x+1/2,y+1/2,-z'
'x+1/2,-y+1/2,z'
loop_
_atom_site_label
_atom_site_fract_x
_atom_site_fract_y
_atom_site_fract_z
Si1 0.079 0.000 0.419
As1 0.074 0.500 0.900
As2 0.247 0.500 0.726

***

# SiAs | Alexandria | PBE | optimized geometry
# total moment	0.000	μB/atom
# formation energy without anion corrections	564	meV/atom
data_SiAs
_symmetry_space_group_name_H-M 'R -3 m'
_symmetry_Int_Tables_number 166
_symmetry_space_group_name_Hall '-R 3 2"'
_cell_length_a 4.6311
_cell_length_b 4.6311
_cell_length_c 10.9545
_cell_angle_alpha 90.00
_cell_angle_beta 90.00
_cell_angle_gamma 120.00
loop_
_atom_site_label
_atom_site_fract_x
_atom_site_fract_y
_atom_site_fract_z
Si1 0.0000 0.0000 0.1212
As1 0.0000 0.0000 0.3698

***

# Si3As | Alexandria | PBE | optimized geometry
# total moment	0.000	μB/atom
# energy relative to the lowest polymorph listed for this composition	293	meV per atom
# formation energy without anion corrections	554	meV/atom
data_Si3As
_symmetry_space_group_name_H-M 'P -6 m 2'
_symmetry_Int_Tables_number 187
_symmetry_space_group_name_Hall 'P -6 2'
_cell_length_a 2.8108
_cell_length_b 2.8108
_cell_length_c 9.3246
_cell_angle_alpha 90.00
_cell_angle_beta 90.00
_cell_angle_gamma 120.00
loop_
_atom_site_label
_atom_site_fract_x
_atom_site_fract_y
_atom_site_fract_z
Si1 0.0000 0.0000 0.0000
Si2 0.6667 0.3333 0.2312
As1 0.0000 0.0000 0.5000

***

# Si3As | Alexandria | PBE | optimized geometry
# total moment	0.000	μB/atom
# energy relative to the lowest polymorph listed for this composition	261	meV per atom
# formation energy without anion corrections	522	meV/atom
data_Si3As
_symmetry_space_group_name_H-M 'C m m m'
_symmetry_Int_Tables_number 65
_symmetry_space_group_name_Hall '-C 2 2'
_cell_length_a 3.233
_cell_length_b 4.401
_cell_length_c 8.958
_cell_angle_alpha 90.00
_cell_angle_beta 90.00
_cell_angle_gamma 90.00
loop_
_atom_site_label
_atom_site_fract_x
_atom_site_fract_y
_atom_site_fract_z
Si1 0.000 0.000 0.000
Si2 0.000 0.500 0.231
As1 0.000 0.000 0.500

***

# SiAs2 | Alexandria | PBE | optimized geometry
# total moment	0.000	μB/atom
# energy relative to the lowest polymorph listed for this composition	0	meV per atom
# formation energy without anion corrections	-85	meV/atom
data_SiAs2
_symmetry_space_group_name_H-M 'P b a m'
_symmetry_Int_Tables_number 55
_cell_length_a 10.533
_cell_length_b 15.867
_cell_length_c 3.687
_cell_angle_alpha 90.00
_cell_angle_beta 90.00
_cell_angle_gamma 90.00
loop_
_symmetry_equiv_pos_as_xyz
'x,y,z'
'-x,-y,-z'
'-x,-y,z'
'x,y,-z'
'x+1/2,-y+1/2,-z'
'-x+1/2,y+1/2,z'
'-x+1/2,y+1/2,-z'
'x+1/2,-y+1/2,z'
loop_
_atom_site_label
_atom_site_fract_x
_atom_site_fract_y
_atom_site_fract_z
Si1 0.084 0.158 0.000
Si2 0.200 0.768 0.500
As1 0.049 0.882 0.500
As2 0.114 0.624 0.500
As3 0.161 0.300 0.000
As4 0.243 0.559 0.000

***

# SiAs | Alexandria | PBE | optimized geometry
# total moment	0.000	μB/atom
# formation energy without anion corrections	206	meV/atom
data_SiAs
_symmetry_space_group_name_H-M 'P 63 m c'
_symmetry_Int_Tables_number 186
_symmetry_space_group_name_Hall 'P 6c -2c'
_cell_length_a 3.7226
_cell_length_b 3.7226
_cell_length_c 7.7948
_cell_angle_alpha 90.00
_cell_angle_beta 90.00
_cell_angle_gamma 120.00
loop_
_atom_site_label
_atom_site_fract_x
_atom_site_fract_y
_atom_site_fract_z
Si1 0.3333 0.6667 0.0000
As1 0.3333 0.6667 0.6460

***

# SiAs | Alexandria | PBE | optimized geometry
# total moment	0.000	μB/atom
# formation energy without anion corrections	271	meV/atom
data_SiAs
_symmetry_space_group_name_H-M 'I 4/m'
_symmetry_Int_Tables_number 87
_symmetry_space_group_name_Hall '-I 4'
_cell_length_a 10.142
_cell_length_b 10.142
_cell_length_c 3.552
_cell_angle_alpha 90.00
_cell_angle_beta 90.00
_cell_angle_gamma 90.00
loop_
_atom_site_label
_atom_site_fract_x
_atom_site_fract_y
_atom_site_fract_z
Si1 0.163 0.302 0.000
As1 0.017 0.237 0.500

***

# SiAs2 | Alexandria | PBE | optimized geometry
# total moment	0.000	μB/atom
# energy relative to the lowest polymorph listed for this composition	215	meV per atom
# formation energy without anion corrections	130	meV/atom
data_SiAs2
_symmetry_space_group_name_H-M 'C m c m'
_symmetry_Int_Tables_number 63
_symmetry_space_group_name_Hall '-C 2c 2'
_cell_length_a 3.729
_cell_length_b 11.286
_cell_length_c 5.324
_cell_angle_alpha 90.00
_cell_angle_beta 90.00
_cell_angle_gamma 90.00
loop_
_atom_site_label
_atom_site_fract_x
_atom_site_fract_y
_atom_site_fract_z
Si1 0.000 0.168 0.250
As1 0.000 0.175 0.750
As2 0.000 0.486 0.750

***

# SiAs4 | Alexandria | PBE | optimized geometry
# total moment	0.000	μB/atom
# energy relative to the lowest polymorph listed for this composition	0	meV per atom
# formation energy without anion corrections	443	meV/atom
data_SiAs4
_symmetry_space_group_name_H-M 'I m -3 m'
_symmetry_Int_Tables_number 229
_symmetry_space_group_name_Hall '-I 4 2 3'
_cell_length_a 5.974
_cell_length_b 5.974
_cell_length_c 5.974
_cell_angle_alpha 90.00
_cell_angle_beta 90.00
_cell_angle_gamma 90.00
loop_
_atom_site_label
_atom_site_fract_x
_atom_site_fract_y
_atom_site_fract_z
Si1 0.000 0.000 0.000
As1 0.250 0.250 0.250

***

# SiAs3 | Alexandria | PBE | optimized geometry
# total moment	0.000	μB/atom
# energy relative to the lowest polymorph listed for this composition	562	meV per atom
# formation energy without anion corrections	659	meV/atom
data_SiAs3
_symmetry_space_group_name_H-M 'P m -3 n'
_symmetry_Int_Tables_number 223
_symmetry_space_group_name_Hall '-P 4n 2 3'
_cell_length_a 5.321
_cell_length_b 5.321
_cell_length_c 5.321
_cell_angle_alpha 90.00
_cell_angle_beta 90.00
_cell_angle_gamma 90.00
loop_
_atom_site_label
_atom_site_fract_x
_atom_site_fract_y
_atom_site_fract_z
Si1 0.000 0.000 0.000
As1 0.000 0.250 0.500

***

# Si3As5 | Alexandria | PBE | optimized geometry
# total moment	0.000	μB/atom
# energy relative to the lowest polymorph listed for this composition	0	meV per atom
# formation energy without anion corrections	479	meV/atom
data_Si3As5
_symmetry_space_group_name_H-M 'C m m m'
_symmetry_Int_Tables_number 65
_symmetry_space_group_name_Hall '-C 2 2'
_cell_length_a 6.658
_cell_length_b 9.556
_cell_length_c 4.549
_cell_angle_alpha 90.00
_cell_angle_beta 90.00
_cell_angle_gamma 90.00
loop_
_atom_site_label
_atom_site_fract_x
_atom_site_fract_y
_atom_site_fract_z
Si1 0.000 0.000 0.000
Si2 0.000 0.207 0.500
As1 0.000 0.500 0.000
As2 0.245 0.000 0.500
As3 0.250 0.250 0.000

***

# Si4As | Alexandria | PBE | optimized geometry
# total moment	0.000	μB/atom
# energy relative to the lowest polymorph listed for this composition	449	meV per atom
# formation energy without anion corrections	892	meV/atom
data_Si4As
_symmetry_space_group_name_H-M 'I m -3 m'
_symmetry_Int_Tables_number 229
_symmetry_space_group_name_Hall '-I 4 2 3'
_cell_length_a 5.832
_cell_length_b 5.832
_cell_length_c 5.832
_cell_angle_alpha 90.00
_cell_angle_beta 90.00
_cell_angle_gamma 90.00
loop_
_atom_site_label
_atom_site_fract_x
_atom_site_fract_y
_atom_site_fract_z
Si1 0.250 0.250 0.250
As1 0.000 0.000 0.000

***

# SiAs | Alexandria | PBE | optimized geometry
# total moment	0.000	μB/atom
# formation energy without anion corrections	346	meV/atom
data_SiAs
_symmetry_space_group_name_H-M 'P -3 m 1'
_symmetry_Int_Tables_number 164
_symmetry_space_group_name_Hall '-P 3 2"'
_cell_length_a 4.5506
_cell_length_b 4.5506
_cell_length_c 14.0068
_cell_angle_alpha 90.00
_cell_angle_beta 90.00
_cell_angle_gamma 120.00
loop_
_atom_site_label
_atom_site_fract_x
_atom_site_fract_y
_atom_site_fract_z
Si1 0.0000 0.0000 0.1214
Si2 0.3333 0.6667 0.1059
Si3 0.3333 0.6667 0.5165
As1 0.0000 0.0000 0.2941
As2 0.3333 0.6667 0.6905
As3 0.3333 0.6667 0.9286

***

# SiAs | Alexandria | PBE | optimized geometry
# total moment	0.000	μB/atom
# formation energy without anion corrections	200	meV/atom
data_SiAs
_symmetry_space_group_name_H-M 'C 1 2/m 1'
_symmetry_Int_Tables_number 12
_cell_length_a 14.684
_cell_length_b 3.077
_cell_length_c 4.516
_cell_angle_alpha 90.00
_cell_angle_beta 107.91
_cell_angle_gamma 90.00
loop_
_symmetry_equiv_pos_as_xyz
'x,y,z'
'-x,-y,-z'
'-x,y,-z'
'x,-y,z'
'x+1/2,y+1/2,z'
'-x+1/2,-y+1/2,-z'
'-x+1/2,y+1/2,-z'
'x+1/2,-y+1/2,z'
loop_
_atom_site_label
_atom_site_fract_x
_atom_site_fract_y
_atom_site_fract_z
Si1 0.236 0.000 0.199
As1 0.122 0.500 0.364

***

# SiAs2 | Alexandria | PBE | optimized geometry
# total moment	0.000	μB/atom
# energy relative to the lowest polymorph listed for this composition	502	meV per atom
# formation energy without anion corrections	417	meV/atom
data_SiAs2
_symmetry_space_group_name_H-M 'P 4/m m m'
_symmetry_Int_Tables_number 123
_symmetry_space_group_name_Hall '-P 4 2'
_cell_length_a 4.081
_cell_length_b 4.081
_cell_length_c 3.647
_cell_angle_alpha 90.00
_cell_angle_beta 90.00
_cell_angle_gamma 90.00
loop_
_atom_site_label
_atom_site_fract_x
_atom_site_fract_y
_atom_site_fract_z
Si1 0.000 0.000 0.000
As1 0.000 0.500 0.500

***

# SiAs2 | Alexandria | PBE | optimized geometry
# total moment	0.000	μB/atom
# energy relative to the lowest polymorph listed for this composition	487	meV per atom
# formation energy without anion corrections	402	meV/atom
data_SiAs2
_symmetry_space_group_name_H-M 'C m c m'
_symmetry_Int_Tables_number 63
_symmetry_space_group_name_Hall '-C 2c 2'
_cell_length_a 3.404
_cell_length_b 14.487
_cell_length_c 4.581
_cell_angle_alpha 90.00
_cell_angle_beta 90.00
_cell_angle_gamma 90.00
loop_
_atom_site_label
_atom_site_fract_x
_atom_site_fract_y
_atom_site_fract_z
Si1 0.000 0.093 0.250
As1 0.000 0.277 0.750
As2 0.000 0.447 0.250

***

# SiAs2 | Alexandria | PBE | optimized geometry
# total moment	0.000	μB/atom
# energy relative to the lowest polymorph listed for this composition	75	meV per atom
# formation energy without anion corrections	-10	meV/atom
data_SiAs2
_symmetry_space_group_name_H-M 'C 1 2/m 1'
_symmetry_Int_Tables_number 12
_cell_length_a 12.979
_cell_length_b 3.675
_cell_length_c 7.078
_cell_angle_alpha 90.00
_cell_angle_beta 109.59
_cell_angle_gamma 90.00
loop_
_symmetry_equiv_pos_as_xyz
'x,y,z'
'-x,-y,-z'
'-x,y,-z'
'x,-y,z'
'x+1/2,y+1/2,z'
'-x+1/2,-y+1/2,-z'
'-x+1/2,y+1/2,-z'
'x+1/2,-y+1/2,z'
loop_
_atom_site_label
_atom_site_fract_x
_atom_site_fract_y
_atom_site_fract_z
Si1 0.202 0.000 0.118
As1 0.114 0.500 0.904
As2 0.180 0.000 0.442